(1)
La2TbSmSe5: relaxed, PBE-GGA.

a = 5.168 Å, b = 5.168 Å, c = 10.925 Å
α = 90.00°, β = 90.00°, γ = 90.00°
Element x y z (fractional)
1 La 0.000 0.000 0.184
2 La 0.000 0.000 0.816
3 Tb 0.500 0.500 0.000
4 Sm 0.500 0.500 0.500
5 Se 0.000 0.000 0.500
6 Se 0.000 0.500 0.000
7 Se 0.500 0.000 0.000
8 Se 0.500 0.500 0.253
9 Se 0.500 0.500 0.747

Properties
uncorrected energy: -5.480 eV per atom
raw formation energy: -1.410 eV per atom
N(E_F): 5.88 states/eV per cell
theoretical density: 5.587 g/cm3

(2)
MgCuO2: relaxed, PBE-GGA.

a = 5.417 Å, b = 5.417 Å, c = 5.417 Å
α = 31.85°, β = 31.85°, γ = 31.85°
Element x y z (fractional)
1 Mg 0.000 0.000 0.000
2 Cu 0.830 0.830 0.830
3 O 0.408 0.408 0.408
4 O 0.585 0.585 0.585

Properties
uncorrected energy: -5.249 eV per atom
raw formation energy: -1.347 eV per atom
N(E_F): 3.05 states/eV per cell
theoretical density: 5.062 g/cm3

(3)
Ca2AgPtC: relaxed, PBE-GGA.

a = 5.200 Å, b = 5.200 Å, c = 3.878 Å
α = 90.00°, β = 90.00°, γ = 90.00°
Element x y z (fractional)
1 Ca 0.000 0.500 0.000
2 Ca 0.500 0.000 0.000
3 Ag 0.000 0.000 0.500
4 Pt 0.500 0.500 0.500
5 C 0.500 0.500 0.000

Properties
energy of formation: -352 meV/atom
uncorrected energy: -4.776 eV per atom
N(E_F): 2.88 states/eV per cell
theoretical density: 6.257 g/cm3

(4)
HgMoP2S: relaxed, PBE-GGA.

a = 4.910 Å, b = 4.910 Å, c = 4.963 Å
α = 90.00°, β = 90.00°, γ = 90.00°
Element x y z (fractional)
1 Hg 0.000 0.000 0.000
2 Mo 0.500 0.500 0.500
3 P 0.000 0.500 0.000
4 P 0.500 0.000 0.000
5 S 0.000 0.000 0.500

Properties
uncorrected energy: -3.548 eV per atom
raw formation energy: 1.668 eV per atom
N(E_F): 3.65 states/eV per cell
relative energy among the computed polymorphs: 1.331 eV per atom
theoretical density: 5.419 g/cm3

(5)
Nb2CrSn2: relaxed, PBE-GGA.

a = 6.929 Å, b = 6.929 Å, c = 3.995 Å
α = 90.00°, β = 90.00°, γ = 90.00°
Element x y z (fractional)
1 Nb 0.157 0.343 0.000
2 Nb 0.343 0.843 0.000
3 Nb 0.657 0.157 0.000
4 Nb 0.843 0.657 0.000
5 Cr 0.000 0.000 0.500
6 Cr 0.500 0.500 0.500
7 Sn 0.148 0.648 0.500
8 Sn 0.352 0.148 0.500
9 Sn 0.648 0.852 0.500
10 Sn 0.852 0.352 0.500

Properties
energy of formation: 328 meV/atom
uncorrected energy: -7.225 eV per atom
N(E_F): 11.51 states/eV per cell
theoretical density: 8.228 g/cm3

(6)
LiAc3Ga3: relaxed, PBE-GGA.

a = 6.202 Å, b = 6.202 Å, c = 15.608 Å
α = 109.13°, β = 109.13°, γ = 46.08°
Element x y z (fractional)
1 Li 0.149 0.149 0.402
2 Li 0.851 0.851 0.598
3 Ac 0.169 0.169 0.617
4 Ac 0.320 0.320 0.924
5 Ac 0.469 0.469 0.227
6 Ac 0.531 0.531 0.773
7 Ac 0.680 0.680 0.076
8 Ac 0.831 0.831 0.383
9 Ga 0.029 0.029 0.924
10 Ga 0.177 0.177 0.228
11 Ga 0.422 0.422 0.545
12 Ga 0.578 0.578 0.455
13 Ga 0.823 0.823 0.772
14 Ga 0.971 0.971 0.076

Properties
energy of formation: -430 meV/atom
uncorrected energy: -3.762 eV per atom
N(E_F): 11.59 states/eV per cell
theoretical density: 7.372 g/cm3

(7)
TlZnB2: relaxed, PBE-GGA.

a = 9.126 Å, b = 9.126 Å, c = 9.126 Å
α = 156.55°, β = 156.55°, γ = 33.40°
Element x y z (fractional)
1 Tl 0.375 0.625 0.750
2 Tl 0.625 0.375 0.250
3 Zn 0.125 0.875 0.250
4 Zn 0.875 0.125 0.750
5 B 0.000 0.000 0.000
6 B 0.000 0.000 0.500
7 B 0.000 0.500 0.000
8 B 0.500 0.000 0.500

Properties
energy of formation: 1022 meV/atom
uncorrected energy: -3.227 eV per atom
N(E_F): 2.90 states/eV per cell
relative energy among the computed polymorphs: 0.000 eV per atom
theoretical density: 8.049 g/cm3

(8)
CrTcCl2: relaxed, PBE-GGA.

a = 4.525 Å, b = 4.525 Å, c = 3.512 Å
α = 90.00°, β = 90.00°, γ = 90.00°
Element x y z (fractional)
1 Cr 0.000 0.000 0.000
2 Tc 0.500 0.500 0.000
3 Cl 0.000 0.500 0.500
4 Cl 0.500 0.000 0.500

Properties
uncorrected energy: -5.346 eV per atom
raw formation energy: 0.575 eV per atom
N(E_F): 1.52 states/eV per cell
relative energy among the computed polymorphs: 0.765 eV per atom
theoretical density: 5.100 g/cm3